Sr2CeCuS5 | GGA-PBE | relaxed

Properties
Spin magnetization   0.000 Bohr magnetons per cell
Total DFT energy (no corrections)   -5.33 eV/atom
Formation energy (no corrections)   -1.55 eV per atom

Cell lengths 8.9920, 8.9920, 12.2366 Å; angles 90.00, 90.00, 154.14 degrees
Element x y z (fractional)
Sr: 0.1151 0.8849 0.5000
Sr: 0.1183 0.8817 0.1489
Sr: 0.8817 0.1183 0.6489
Sr: 0.8849 0.1151 0.0000
Ce: 0.1959 0.8041 0.8325
Ce: 0.8041 0.1959 0.3325
Cu: 0.4441 0.5559 0.2400
Cu: 0.5559 0.4441 0.7400
S: 0.0362 0.9638 0.8235
S: 0.3008 0.6992 0.4836
S: 0.3107 0.6893 0.1800
S: 0.3484 0.6516 0.8252
S: 0.4980 0.5020 0.5759
S: 0.5020 0.4980 0.0759
S: 0.6516 0.3484 0.3252
S: 0.6893 0.3107 0.6800
S: 0.6992 0.3008 0.9836
S: 0.9638 0.0362 0.3235

SrCe2CuS5 | GGA-PBE | relaxed

Properties
Spin magnetization   2.067 Bohr magnetons per cell
Total DFT energy (no corrections)   -5.94 eV/atom
Formation energy (no corrections)   -1.69 eV per atom

Cell lengths 8.5854, 8.5854, 8.5854 Å; angles 126.60, 126.60, 78.91 degrees
Element x y z (fractional)
Sr: 0.2500 0.2500 0.0000
Sr: 0.7500 0.7500 0.0000
Ce: 0.1596 0.6596 0.8193
Ce: 0.3404 0.1596 0.5000
Ce: 0.6596 0.8404 0.5000
Ce: 0.8404 0.3404 0.1807
Cu: 0.2500 0.7500 0.5000
Cu: 0.7500 0.2500 0.5000
S: 0.0000 0.0000 0.0000
S: 0.0186 0.2110 0.5000
S: 0.2110 0.7110 0.1924
S: 0.2890 0.4814 0.5000
S: 0.4814 0.9814 0.1924
S: 0.5000 0.5000 0.0000
S: 0.5186 0.0186 0.8076
S: 0.7110 0.5186 0.5000
S: 0.7890 0.2890 0.8076
S: 0.9814 0.7890 0.5000